Density functional theory data (PBE with a Hubbard U) for crystalline TlCrFeF6 at its relaxed geometry.

The structure belongs to space group P-31c (No. 163); the cell edges are 5.4944, 5.4944 and 11.9919 Å and the angles 90.00°, 90.00° and 120.00°. The distinct sites, in fractional coordinates, are Tl at (0.0000, 0.0000, 0.0000), Cr at (0.3333, 0.6667, 0.2500), Fe at (0.3333, 0.6667, 0.7500) and F at (0.0212, 0.3860, 0.1603).

The magnetization is 7.00 μB per formula unit. Its energy is -5.4432 eV per atom.